(P)
! VIr3Rh | Alexandria | GGA-PBE | optimized geometry; values from VASP
&SYSTEM
  ibrav = 0, nat = 10, ntyp = 3
/
ATOMIC_SPECIES
V 50.94 V.upf
Ir 192.22 Ir.upf
Rh 102.91 Rh.upf
ATOMIC_POSITIONS crystal
V 0.000 0.000 0.000
V 0.500 0.000 0.000
Ir 0.069 0.634 0.258
Ir 0.250 0.574 0.678
Ir 0.431 0.634 0.258
Ir 0.569 0.258 0.634
Ir 0.750 0.678 0.574
Ir 0.931 0.258 0.634
Rh 0.250 0.130 0.762
Rh 0.750 0.762 0.130
CELL_PARAMETERS angstrom
7.543 0.000 0.000
0.000 4.508 2.254
0.000 -4.508 2.254
! Calculated density: 15.83 g cm⁻³

(Q)
! VIr3Rh | Alexandria | GGA-PBE | optimized geometry; values from VASP
&SYSTEM
  ibrav = 0, nat = 20, ntyp = 3
/
ATOMIC_SPECIES
V 50.94 V.upf
Ir 192.22 Ir.upf
Rh 102.91 Rh.upf
ATOMIC_POSITIONS crystal
V 0.183 0.239 0.110
V 0.183 0.261 0.610
V 0.817 0.739 0.390
V 0.817 0.761 0.890
Ir 0.015 0.078 0.846
Ir 0.015 0.422 0.346
Ir 0.165 0.594 0.099
Ir 0.165 0.906 0.599
Ir 0.351 0.099 0.370
Ir 0.351 0.401 0.870
Ir 0.649 0.599 0.130
Ir 0.649 0.901 0.630
Ir 0.835 0.094 0.401
Ir 0.835 0.406 0.901
Ir 0.985 0.578 0.654
Ir 0.985 0.922 0.154
Rh 0.364 0.713 0.382
Rh 0.364 0.787 0.882
Rh 0.636 0.213 0.118
Rh 0.636 0.287 0.618
CELL_PARAMETERS angstrom
5.356 0.000 0.000
0.000 7.125 0.000
-1.087 0.000 8.365
! Calculated density: 15.20 g cm⁻³

(R)
! VIr3Rh | Alexandria | GGA-PBE | optimized geometry; values from VASP
&SYSTEM
  ibrav = 0, nat = 5, ntyp = 3
/
ATOMIC_SPECIES
V 50.94 V.upf
Ir 192.22 Ir.upf
Rh 102.91 Rh.upf
ATOMIC_POSITIONS crystal
V 0.000 0.000 0.000
Ir 0.000 0.000 0.500
Ir 0.000 0.500 0.000
Ir 0.500 0.000 0.000
Rh 0.500 0.500 0.500
CELL_PARAMETERS angstrom
4.475 0.000 0.000
0.000 4.475 0.000
0.000 0.000 4.475
! Calculated density: 13.53 g cm⁻³

Verdict on stability: (P) comes out on top.

(P)
! V2Ir3Rh | Alexandria | GGA-PBE | optimized geometry; values from VASP
&SYSTEM
  ibrav = 0, nat = 6, ntyp = 3
/
ATOMIC_SPECIES
V 50.94 V.upf
Ir 192.22 Ir.upf
Rh 102.91 Rh.upf
ATOMIC_POSITIONS crystal
V 0.161 0.839 0.000
V 0.839 0.161 0.000
Ir 0.000 0.000 0.500
Ir 0.332 0.668 0.500
Ir 0.668 0.332 0.500
Rh 0.500 0.500 0.000
CELL_PARAMETERS angstrom
1.929 -5.815 0.000
1.929 5.815 0.000
0.000 0.000 3.755
! Calculated density: 15.40 g cm⁻³

(Q)
! V2Ir3Rh | Alexandria | GGA-PBE | optimized geometry; values from VASP
&SYSTEM
  ibrav = 0, nat = 12, ntyp = 3
/
ATOMIC_SPECIES
V 50.94 V.upf
Ir 192.22 Ir.upf
Rh 102.91 Rh.upf
ATOMIC_POSITIONS crystal
V 0.158 0.158 0.158
V 0.342 0.342 0.342
V 0.658 0.658 0.658
V 0.842 0.842 0.842
Ir 0.052 0.750 0.448
Ir 0.250 0.552 0.948
Ir 0.448 0.052 0.750
Ir 0.552 0.948 0.250
Ir 0.750 0.448 0.052
Ir 0.948 0.250 0.552
Rh 0.000 0.000 0.000
Rh 0.500 0.500 0.500
CELL_PARAMETERS angstrom
3.275 1.891 5.250
-3.275 1.891 5.250
0.000 -3.782 5.250
! Calculated density: 13.31 g cm⁻³

Verdict on stability: (P) comes out on top.

(P)
! V4Ir3Rh | Alexandria | GGA-PBE | optimized geometry; values from VASP
&SYSTEM
  ibrav = 0, nat = 16, ntyp = 3
/
ATOMIC_SPECIES
V 50.94 V.upf
Ir 192.22 Ir.upf
Rh 102.91 Rh.upf
ATOMIC_POSITIONS crystal
V 0.000 0.249 0.000
V 0.000 0.751 0.000
V 0.250 0.249 0.359
V 0.250 0.751 0.359
V 0.500 0.249 0.000
V 0.500 0.751 0.000
V 0.750 0.249 0.641
V 0.750 0.751 0.641
Ir 0.000 0.000 0.500
Ir 0.250 0.000 0.867
Ir 0.250 0.500 0.871
Ir 0.500 0.000 0.500
Ir 0.750 0.000 0.133
Ir 0.750 0.500 0.129
Rh 0.000 0.500 0.500
Rh 0.500 0.500 0.500
CELL_PARAMETERS angstrom
8.718 0.000 0.000
0.000 5.508 0.000
0.000 0.000 4.626
! Calculated density: 13.21 g cm⁻³

(Q)
! V4Ir3Rh | Alexandria | GGA-PBE | optimized geometry; values from VASP
&SYSTEM
  ibrav = 0, nat = 8, ntyp = 3
/
ATOMIC_SPECIES
V 50.94 V.upf
Ir 192.22 Ir.upf
Rh 102.91 Rh.upf
ATOMIC_POSITIONS crystal
V 0.121 0.875 0.245
V 0.370 0.125 0.245
V 0.630 0.875 0.755
V 0.879 0.125 0.755
Ir 0.000 0.500 0.500
Ir 0.260 0.260 0.000
Ir 0.740 0.740 0.000
Rh 0.500 0.000 0.500
CELL_PARAMETERS angstrom
-1.346 2.438 8.643
1.346 -2.438 8.643
1.346 2.438 -8.643
! Calculated density: 12.93 g cm⁻³

Verdict on stability: (P) comes out on top.